Entry from the Alexandria database: a relaxed structure of Ho2TmPu (PBE-GGA).

Lattice parameters (Å, degrees): 4.929 4.929 4.919 90.00 90.00 90.00
Element x y z (fractional)
Ho  0.000  0.500  0.000
Ho  0.500  0.000  0.000
Tm  0.000  0.000  0.500
Pu  0.500  0.500  0.500

Computed properties:
* DOS(E_F): 3.96 states/eV per atom
* V: 29.9 A^3/atom
* E above lowest polymorph: 46.9 meV per atom